Below is crystalline Ti3AgI at its relaxed geometry, with properties calculated at the GGA-PBEsol level.

Cell lengths 4.895, 4.895, 4.895 Å; angles 90.00, 90.00, 90.00 degrees
Last column: magnetic moment on the atom in μB.
Fractional positions:
I  0.500  0.500  0.500  0.00
Ag  0.000  0.000  0.000  0.02
Ti  0.000  0.500  0.000  0.75
Ti  0.000  0.000  0.500  0.75
Ti  0.500  0.000  0.000  0.75

Summary:
Formation energy from raw total energies in eV per atom: 0.967
VASP energy in Ry per atom: -0.371

=====

Below is crystalline Na2CaVP2O9 at its relaxed geometry, with properties calculated at the GGA-PBEsol level.

Cell lengths 6.551, 10.062, 10.505 Å; angles 90.00, 90.00, 90.00 degrees
Last column: magnetic moment on the atom in μB.
Fractional positions:
Na  0.504  0.134  0.287  0.00
Na  0.004  0.866  0.713  0.00
Na  0.996  0.134  0.287  0.00
Na  0.996  0.366  0.787  0.00
Na  0.004  0.634  0.213  0.00
Na  0.504  0.366  0.787  0.00
Na  0.496  0.634  0.213  0.00
Na  0.496  0.866  0.713  0.00
Ca  0.250  0.911  0.060  0.00
Ca  0.750  0.089  0.940  0.00
Ca  0.750  0.411  0.440  0.00
Ca  0.250  0.589  0.560  0.00
V  0.750  0.693  0.967  0.99
V  0.250  0.193  0.533  0.99
V  0.250  0.307  0.033  0.99
V  0.750  0.807  0.467  0.99
P  0.250  0.636  0.910  0.01
P  0.750  0.917  0.178  0.00
P  0.750  0.364  0.090  0.01
P  0.250  0.864  0.410  0.01
P  0.250  0.417  0.322  0.00
P  0.250  0.083  0.822  0.00
P  0.750  0.583  0.678  0.00
P  0.750  0.136  0.590  0.01
O  0.250  0.017  0.409  0.00
O  0.436  0.692  0.988  0.00
O  0.564  0.192  0.512  0.00
O  0.564  0.308  0.012  0.00
O  0.936  0.308  0.012  0.00
O  0.937  0.512  0.623  0.00
O  0.750  0.732  0.643  0.01
O  0.750  0.193  0.727  0.00
O  0.250  0.807  0.273  0.00
O  0.563  0.988  0.123  0.00
O  0.250  0.434  0.174  0.02
O  0.750  0.983  0.591  0.00
O  0.063  0.488  0.377  0.00
O  0.750  0.307  0.227  0.00
O  0.750  0.768  0.143  0.01
O  0.937  0.988  0.123  0.00
O  0.750  0.566  0.826  0.02
O  0.250  0.483  0.909  0.00
O  0.250  0.167  0.110  -0.09
O  0.063  0.012  0.877  0.00
O  0.250  0.333  0.610  -0.09
O  0.064  0.692  0.988  0.00
O  0.936  0.192  0.512  0.00
O  0.437  0.012  0.877  0.00
O  0.250  0.268  0.357  0.01
O  0.563  0.512  0.623  0.00
O  0.750  0.667  0.390  -0.09
O  0.250  0.066  0.674  0.02
O  0.750  0.833  0.890  -0.09
O  0.250  0.693  0.773  0.00
O  0.436  0.808  0.488  0.00
O  0.250  0.232  0.857  0.01
O  0.437  0.488  0.377  0.00
O  0.750  0.517  0.091  0.00
O  0.064  0.808  0.488  0.00
O  0.750  0.934  0.326  0.02

Summary:
Formation energy from raw total energies in eV per atom: -2.482
VASP energy in Ry per atom: -0.542